## La3CdSn (GGA-PBE)

Data for La3CdSn after structural relaxation.

Output
- N(E_F) (states/eV/cell) = 7.644
- energy of formation (eV per formula unit) = 0.55
- energy (eV/atom) = -3.830
- volume (Å³/cell) = 222.1

Lattice parameters (Å, degrees): 6.056 6.056 6.056 90.00 90.00 90.00
Space group Pm-3m (No. 221)
Inequivalent atoms, fractional coordinates:
La  0.000  0.000  0.500 [3 per cell]
Cd  0.500  0.500  0.500 [1 per cell]
Sn  0.000  0.000  0.000 [1 per cell]